{
  "formula": "NbRu",
  "functional": "PBE",
  "state": "relaxed",
  "dos_at_fermi_per_ev_cell": 2.7,
  "magmom_total_mub_per_cell": 0.000,
  "dft_energy_ev_per_atom": -9.042,
  "lattice": [[-4.225, -1.004, -0.040], [2.919, -2.830, -1.528], [0.453, -2.093, 4.742]],
  "species": ["Nb", "Ru", "Nb", "Ru"],
  "frac_coords": [[0.333, 0.667, 0.250], [0.667, 0.333, 0.250], [0.667, 0.333, 0.750], [0.333, 0.667, 0.750]]
}

---

{
  "formula": "AcEuSbPt",
  "functional": "PBE",
  "state": "relaxed",
  "e_form_raw_ev_per_atom": -0.938,
  "magmom_total_mub_per_cell": 6.999,
  "lattice": [[5.476, 0.000, 0.000], [2.738, 4.742, 0.000], [2.738, 1.581, 4.471]],
  "species": ["Eu", "Ac", "Pt", "Sb"],
  "frac_coords": [[0.500, 0.500, 0.500], [0.000, 0.000, 0.000], [0.750, 0.750, 0.750], [0.250, 0.250, 0.250]]
}